#A
HfOsNO, optimized geometry, DFT PBE; volume = 55 Å³/f.u.
1.0
-1.870 -3.239 0.000
0.000 0.000 5.013
-5.091 2.939 0.000
O N Os Hf
2 2 2 2
Cartesian
-5.476 1.002 4.499
-1.485 -1.302 1.993
-1.391 0.803 4.224
-3.700 2.136 1.717
-2.094 1.209 2.444
-2.998 1.731 4.951
-4.874 0.655 2.639
-2.087 -0.954 0.133



#B
HfOsNO, optimized geometry, DFT PBE; volume = 44 Å³/f.u.
1.0
4.507 0.000 0.000
0.000 4.507 0.000
0.000 0.000 4.367
Os N O Hf
2 2 2 2
Cartesian
0.000 2.253 0.348
2.253 0.000 4.019
2.253 0.000 1.844
0.000 2.253 2.523
0.000 0.000 0.000
2.253 2.253 0.000
0.000 0.000 2.184
2.253 2.253 2.184



#C
HfOsNO, optimized geometry, DFT PBE; volume = 51 Å³/f.u.
1.0
-2.203 -0.804 1.880
-3.076 -1.827 -4.385
2.431 -5.395 0.543
Hf Os N O
2 2 2 2
Cartesian
-0.509 -2.862 -1.819
-1.435 -5.132 -3.875
-0.926 -5.604 -1.078
-0.730 -1.714 0.815
0.731 -4.462 -1.051
-1.857 -3.046 -3.478
-2.043 -1.846 -0.780
-1.778 -6.758 -2.570



#D
HfOsNO, optimized geometry, DFT PBE; volume = 52 Å³/f.u.
1.0
5.469 0.000 0.000
0.000 7.387 0.000
0.000 0.000 5.128
O N Hf Os
4 4 4 4
Cartesian
0.745 3.925 3.249
1.990 3.925 0.685
4.724 3.462 0.685
3.479 3.462 3.249
4.514 6.258 0.673
1.779 1.129 0.673
0.955 1.129 3.237
3.690 6.258 3.237
2.312 4.980 2.391
5.046 2.407 2.391
0.423 4.980 4.955
3.157 2.407 4.955
0.116 0.450 4.982
2.619 0.450 2.418
5.353 6.937 2.418
2.850 6.937 4.982



What should be chosen as the most stable of them? Choose #D.



#A
RbHfNO, optimized geometry, DFT PBE; volume = 100 Å³/f.u.
1.0
4.228 0.000 0.000
0.000 4.228 0.000
0.000 0.000 11.212
N O Rb Hf
2 2 2 2
Cartesian
1.057 1.057 5.973
3.171 3.171 5.240
1.057 3.171 0.000
3.171 1.057 0.000
1.057 1.057 1.620
3.171 3.171 9.592
1.057 3.171 5.606
3.171 1.057 5.606



#B
RbHfNO, optimized geometry, DFT PBE; volume = 82 Å³/f.u.
1.0
6.270 0.000 0.000
0.000 8.734 0.000
0.000 0.000 6.010
O Hf Rb N
4 4 4 4
Cartesian
3.761 3.832 3.806
2.509 4.902 0.801
5.643 3.832 0.801
0.626 4.902 3.806
3.802 3.541 5.884
5.602 3.541 2.879
2.467 5.192 2.879
0.668 5.192 5.884
5.911 7.662 3.195
3.494 7.662 0.190
2.776 1.072 3.195
0.359 1.072 0.190
6.175 1.848 3.355
3.230 1.848 0.351
3.040 6.886 3.355
0.095 6.886 0.351



What should be chosen as the most stable of them? Choose #B.



#A
HfReNO, optimized geometry, DFT PBE; volume = 52 Å³/f.u.
1.0
3.217 0.000 0.000
0.000 5.522 0.000
0.000 0.000 5.845
Re Hf N O
2 2 2 2
Cartesian
1.609 0.232 1.357
1.609 2.993 4.487
0.000 2.607 2.162
0.000 5.368 3.682
0.000 4.679 1.586
0.000 1.918 4.259
1.609 2.169 0.720
1.609 4.930 5.125



#B
HfReNO, optimized geometry, DFT PBE; volume = 48 Å³/f.u.
1.0
5.317 0.000 0.000
0.000 7.343 0.000
0.000 0.000 4.947
Hf N Re O
4 4 4 4
Cartesian
0.165 4.809 1.730
5.152 2.534 4.203
2.493 4.809 4.203
2.824 2.534 1.730
4.731 1.395 1.050
3.245 1.395 3.524
2.072 5.948 1.050
0.586 5.948 3.524
3.219 0.145 0.237
0.560 7.198 0.237
2.099 7.198 2.710
4.757 0.145 2.710
1.351 3.450 2.931
1.307 3.450 0.458
4.010 3.893 2.931
3.966 3.893 0.458



#C
HfReNO, optimized geometry, DFT PBE; volume = 51 Å³/f.u.
1.0
0.099 -0.781 3.019
-4.362 -3.720 -0.819
3.698 -4.077 -1.176
N O Hf Re
2 2 2 2
Cartesian
0.573 -3.941 -1.038
-2.441 -4.883 -1.183
-0.581 -2.478 0.990
-0.648 -6.667 -0.091
1.229 -5.695 0.099
-3.708 -4.517 0.566
2.260 -3.090 -0.873
-1.355 -3.370 -0.827



What should be chosen as the most stable of them? Choose #B.



#A
HfReNO, optimized geometry, DFT PBE; volume = 44 Å³/f.u.
1.0
3.139 -3.139 0.000
3.139 3.139 0.000
0.000 0.000 4.458
O Hf Re N
2 2 2 2
Cartesian
3.139 -1.569 0.000
3.139 1.569 0.000
3.139 -1.569 2.229
3.139 1.569 2.229
4.708 0.000 4.127
1.569 0.000 0.331
4.708 0.000 1.886
1.569 0.000 2.572



#B
HfReNO, optimized geometry, DFT PBE; volume = 49 Å³/f.u.
1.0
3.786 0.000 0.000
0.000 3.786 0.000
0.000 0.000 6.784
N Re Hf O
2 2 2 2
Cartesian
0.000 1.893 4.353
1.893 0.000 2.430
0.000 0.000 3.392
1.893 1.893 3.392
0.000 1.893 1.056
1.893 0.000 5.727
1.893 1.893 0.000
0.000 0.000 0.000



What should be chosen as the most stable of them? Choose #B.



#A
HfSiNO, optimized geometry, DFT PBE; volume = 52 Å³/f.u.
1.0
-1.772 -3.068 0.000
0.000 0.000 6.152
-4.135 2.388 0.000
N O Si Hf
2 2 2 2
Cartesian
-2.616 1.511 2.580
-1.519 0.877 5.655
-4.079 0.309 4.680
-1.828 -0.990 1.604
-2.683 1.549 0.734
-1.452 0.838 3.810
-4.589 0.604 2.797
-1.318 -1.284 5.872



#B
HfSiNO, optimized geometry, DFT PBE; volume = 44 Å³/f.u.
1.0
4.245 0.000 0.000
0.000 4.245 0.000
0.000 0.000 4.855
O N Si Hf
2 2 2 2
Cartesian
0.000 0.000 0.000
2.122 2.122 0.000
0.000 2.122 3.205
2.122 0.000 1.649
2.122 0.000 4.729
0.000 2.122 0.126
0.000 0.000 2.427
2.122 2.122 2.427



What should be chosen as the most stable of them? Choose #A.



#A
HfSiNO, optimized geometry, DFT PBE; volume = 46 Å³/f.u.
1.0
-2.018 -2.072 1.541
1.797 0.279 2.727
-4.813 6.547 2.502
Si O N Hf
2 2 2 2
Cartesian
-1.564 2.964 3.682
-3.471 1.789 3.089
0.843 -0.309 2.431
-1.064 -1.485 1.838
-1.412 0.349 3.849
-3.623 4.404 2.922
-4.230 4.183 5.314
-0.804 0.570 1.456



#B
HfSiNO, optimized geometry, DFT PBE; volume = 50 Å³/f.u.
1.0
2.949 0.000 0.000
0.000 5.793 0.000
0.000 0.000 5.809
N Si O Hf
2 2 2 2
Cartesian
0.000 4.798 1.925
0.000 1.901 3.883
1.474 5.731 1.451
1.474 2.834 4.358
1.474 5.678 5.575
1.474 2.782 0.234
0.000 2.644 1.814
0.000 5.541 3.995



#C
HfSiNO, optimized geometry, DFT PBE; volume = 49 Å³/f.u.
1.0
-3.220 -5.400 -0.052
4.689 -2.833 3.866
-2.302 1.337 3.771
Hf O N Si
4 4 4 4
Cartesian
1.900 -5.454 3.382
-0.309 -6.559 5.250
-1.817 -1.974 2.704
0.391 -0.869 0.836
1.679 -1.836 1.954
-0.364 -2.664 3.825
-1.588 -5.597 4.117
0.455 -4.769 2.246
0.922 -4.723 5.349
-0.786 -0.019 2.639
0.869 -7.410 3.445
-0.839 -2.705 0.735
2.607 -2.810 2.876
0.927 -3.030 4.753
-2.524 -4.618 3.209
-0.844 -4.398 1.332



What should be chosen as the most stable of them? Choose #C.



#A
SmHfNO, optimized geometry, DFT PBE; volume = 62 Å³/f.u.
1.0
6.099 0.000 0.000
0.000 3.176 3.176
0.000 -3.176 3.176
N Hf Sm O
2 2 2 2
Cartesian
5.240 -1.588 3.176
0.859 1.588 3.176
3.274 -1.588 3.176
2.826 1.588 3.176
0.000 0.000 4.765
0.000 0.000 1.588
3.050 0.000 4.765
3.050 0.000 1.588



#B
SmHfNO, optimized geometry, DFT PBE; volume = 66 Å³/f.u.
1.0
3.865 0.000 0.000
0.000 5.218 0.000
0.000 0.000 6.502
Hf O N Sm
2 2 2 2
Cartesian
0.000 5.089 4.390
0.000 2.480 2.112
1.933 5.020 5.103
1.933 2.411 1.399
0.000 1.917 4.070
0.000 4.526 2.432
1.933 4.954 1.020
1.933 2.345 5.482



What should be chosen as the most stable of them? Choose #B.



#A
SmHfNO, optimized geometry, DFT PBE; volume = 66 Å³/f.u.
1.0
-2.013 -3.487 0.000
0.000 0.000 5.380
-5.273 3.044 0.000
N O Sm Hf
2 2 2 2
Cartesian
-1.573 0.908 5.248
-3.700 2.136 2.558
-5.789 1.018 4.523
-1.497 -1.461 1.833
-3.589 2.072 5.150
-1.684 0.972 2.460
-5.122 0.632 2.587
-2.164 -1.075 5.277



#B
SmHfNO, optimized geometry, DFT PBE; volume = 62 Å³/f.u.
1.0
-0.999 6.135 4.856
-6.561 -1.056 -0.015
0.453 -2.865 3.713
Hf Sm N O
4 4 4 4
Cartesian
-3.170 2.681 3.950
-6.204 0.637 2.743
-3.937 -0.467 4.604
-0.904 1.577 5.811
-6.987 3.658 5.169
-4.153 2.646 7.032
-0.120 -1.444 3.384
-2.955 -0.432 1.522
-6.062 -0.631 4.736
-4.135 1.148 2.885
-2.972 1.066 5.669
-1.045 2.845 3.817
-2.476 -1.561 3.581
-4.632 3.775 4.972
-0.682 0.196 1.729
-6.425 2.017 6.824



What should be chosen as the most stable of them? Choose #B.